# 1
A relaxed structure of ThZrMnZn. Source: the Alexandria database, functional PBE.

a b c (Å): 4.9255 4.9255 4.9255
angles (deg): 60.00 60.00 60.00
Fractional positions:
Th1 0.0000 0.0000 0.0000
Zr1 0.5000 0.5000 0.5000
Mn1 0.7500 0.7500 0.7500
Zn1 0.2500 0.2500 0.2500

# 2
A relaxed structure of ThZr2Mn. Source: the Alexandria database, functional PBE.

## Properties
The energy above the lowest structure with this stoichiometry comes out at 0.899 eV/f.u.

a b c (Å): 4.9801 4.9801 4.9801
angles (deg): 60.00 60.00 60.00
Fractional positions:
Th1 0.0000 0.0000 0.0000
Zr1 0.2500 0.2500 0.2500
Zr2 0.7500 0.7500 0.7500
Mn1 0.5000 0.5000 0.5000

# 3
A relaxed structure of ThZr2Mn. Source: the Alexandria database, functional PBE.

## Properties
The energy above the lowest structure with this stoichiometry comes out at 0.000 eV/f.u.

a b c (Å): 3.2694 3.2694 8.1562
angles (deg): 90.00 90.00 90.00
Fractional positions:
Th1 0.0000 0.0000 0.0000
Zr1 0.5000 0.5000 0.3133
Zr2 0.5000 0.5000 0.6867
Mn1 0.0000 0.0000 0.5000

# 4
A relaxed structure of TiMn2. Source: the Alexandria database, functional PBE.

a b c (Å): 4.8473 4.8473 4.8473
angles (deg): 145.12 145.12 50.16
Fractional positions:
Ti1 0.0000 0.0000 0.0000
Mn1 0.3265 0.3265 0.0000
Mn2 0.6735 0.6735 0.0000

# 5
A relaxed structure of TiMn2. Source: the Alexandria database, functional PBE.

a b c (Å): 4.7306 4.7306 7.8343
angles (deg): 90.00 90.00 120.00
Fractional positions:
Ti1 0.3333 0.6667 0.0633
Ti2 0.3333 0.6667 0.4367
Ti3 0.6667 0.3333 0.5633
Ti4 0.6667 0.3333 0.9367
Mn1 0.0000 0.0000 0.0000
Mn2 0.0000 0.0000 0.5000
Mn3 0.1722 0.3444 0.7500
Mn4 0.1722 0.8278 0.7500
Mn5 0.3444 0.1722 0.2500
Mn6 0.6556 0.8278 0.7500
Mn7 0.8278 0.1722 0.2500
Mn8 0.8278 0.6556 0.2500

# 6
A relaxed structure of Ti5Mn. Source: the Alexandria database, functional PBE.

## Properties
The energy above the lowest structure with this stoichiometry comes out at 0.362 eV/f.u.

a b c (Å): 6.9456 6.9456 4.5754
angles (deg): 90.00 90.00 154.47
Fractional positions:
Ti1 0.0000 0.0000 0.0000
Ti2 0.1469 0.8531 0.5000
Ti3 0.3321 0.6679 0.0000
Ti4 0.6679 0.3321 0.0000
Ti5 0.8531 0.1469 0.5000
Mn1 0.5000 0.5000 0.5000

# 7
A relaxed structure of Ti3Mn2. Source: the Alexandria database, functional PBE.

a b c (Å): 3.0028 3.0028 15.6260
angles (deg): 90.00 90.00 90.00
Fractional positions:
Ti1 0.0000 0.0000 0.0000
Ti2 0.0000 0.0000 0.1912
Ti3 0.0000 0.0000 0.3769
Ti4 0.0000 0.0000 0.6231
Ti5 0.0000 0.0000 0.8088
Ti6 0.5000 0.5000 0.5000
Mn1 0.5000 0.5000 0.0951
Mn2 0.5000 0.5000 0.2887
Mn3 0.5000 0.5000 0.7113
Mn4 0.5000 0.5000 0.9049

# 8
A relaxed structure of Ti5Mn. Source: the Alexandria database, functional PBE.

## Properties
The energy above the lowest structure with this stoichiometry comes out at 0.000 eV/f.u.

a b c (Å): 2.9857 2.9857 10.7089
angles (deg): 90.00 90.00 90.00
Fractional positions:
Ti1 0.0000 0.0000 0.0000
Ti2 0.0000 0.0000 0.3660
Ti3 0.0000 0.0000 0.6340
Ti4 0.5000 0.5000 0.1828
Ti5 0.5000 0.5000 0.8172
Mn1 0.5000 0.5000 0.5000

# 9
A relaxed structure of TiMn5. Source: the Alexandria database, functional PBE.

a b c (Å): 4.8784 4.8784 3.9998
angles (deg): 90.00 90.00 131.44
Fractional positions:
Ti1 0.0000 0.0000 0.0000
Mn1 0.1791 0.8209 0.5000
Mn2 0.3253 0.6747 0.0000
Mn3 0.5000 0.5000 0.5000
Mn4 0.6747 0.3253 0.0000
Mn5 0.8209 0.1791 0.5000

# 10
A relaxed structure of Ti2MnTl. Source: the Alexandria database, functional PBE.

## Properties
The energy above the lowest structure with this stoichiometry comes out at 2.570 eV/f.u.

a b c (Å): 10.2596 10.2596 10.2596
angles (deg): 157.89 157.89 31.46
Fractional positions:
Ti1 0.1141 0.6250 0.9891
Ti2 0.3750 0.3641 0.4891
Ti3 0.6359 0.1250 0.0109
Ti4 0.8750 0.8859 0.5109
Mn1 0.0000 0.0000 0.0000
Mn2 0.7500 0.2500 0.5000
Tl1 0.2500 0.7500 0.5000
Tl2 0.5000 0.5000 0.0000

# 11
A relaxed structure of Ti2MnTl. Source: the Alexandria database, functional PBE.

## Properties
The energy above the lowest structure with this stoichiometry comes out at 0.980 eV/f.u.

a b c (Å): 4.5370 4.5370 4.5370
angles (deg): 60.00 60.00 60.00
Fractional positions:
Ti1 0.2500 0.2500 0.2500
Ti2 0.7500 0.7500 0.7500
Mn1 0.0000 0.0000 0.0000
Tl1 0.5000 0.5000 0.5000

# 12
A relaxed structure of TiMn2Tl. Source: the Alexandria database, functional PBE.

## Properties
The energy above the lowest structure with this stoichiometry comes out at 0.000 eV/f.u.

a b c (Å): 4.5083 4.5083 4.5083
angles (deg): 60.00 60.00 60.00
Fractional positions:
Ti1 0.0000 0.0000 0.0000
Mn1 0.2500 0.2500 0.2500
Mn2 0.7500 0.7500 0.7500
Tl1 0.5000 0.5000 0.5000

# 13
A relaxed structure of TiMnTl2. Source: the Alexandria database, functional PBE.

## Properties
The energy above the lowest structure with this stoichiometry comes out at 0.000 eV/f.u.

a b c (Å): 6.1801 6.1801 6.1801
angles (deg): 103.69 103.69 121.79
Fractional positions:
Ti1 0.0000 0.0000 0.0000
Ti2 0.7500 0.2500 0.5000
Mn1 0.2500 0.7500 0.5000
Mn2 0.5000 0.5000 0.0000
Tl1 0.1367 0.1250 0.5117
Tl2 0.3750 0.8633 0.9883
Tl3 0.6133 0.6250 0.4883
Tl4 0.8750 0.3867 0.0117

Sequential formation energy output: 0.055; 0.268; 0.043; -0.133; -0.266; 0.014; -0.186; -0.046; -0.004; 0.567; 0.170; 0.219; 0.540 eV/atom